1.
## Li2YSn2 (PBE)

Data for crystalline Li2YSn2 at its relaxed geometry.

```
10
Lattice="8.192 0.000 0.000 0.000 8.192 0.000 0.000 0.000 3.449" Properties=species:S:1:pos:R:3 pbc="T T T"
Li 1.350 2.746 0.000
Li 2.746 6.842 0.000
Li 5.446 1.350 0.000
Li 6.842 5.446 0.000
Y 0.000 0.000 1.724
Y 4.096 4.096 1.724
Sn 1.077 5.173 1.724
Sn 3.019 1.077 1.724
Sn 5.173 7.115 1.724
Sn 7.115 3.019 1.724
```

Properties
E ... -3.9930 eV per atom
ΔE_f ... -32 kJ/mol of atoms
Energy relative to the lowest polymorph listed for this composition ... 174 meV per atom
V ... 23.1 Å³ per atom
Fermi-level density of states ... 6.44 states/eV/cell

=====

2.
## Li2YSn2 (PBE)

Data for crystalline Li2YSn2 at its relaxed geometry.

```
10
Lattice="4.258 0.000 0.000 0.000 4.258 0.000 0.000 0.000 12.545" Properties=species:S:1:pos:R:3 pbc="T T T"
Li 0.000 2.129 3.136
Li 0.000 2.129 9.409
Li 2.129 0.000 3.136
Li 2.129 0.000 9.409
Y 0.000 0.000 0.000
Y 2.129 2.129 6.273
Sn 0.000 0.000 4.871
Sn 0.000 0.000 7.674
Sn 2.129 2.129 1.401
Sn 2.129 2.129 11.144
```

Properties
E ... -4.1667 eV per atom
ΔE_f ... -49 kJ/mol of atoms
Energy relative to the lowest polymorph listed for this composition ... 0 meV per atom
V ... 22.7 Å³ per atom
Fermi-level density of states ... 2.72 states/eV/cell

=====

3.
## Li2Y3Sn4 (PBE)

Data for crystalline Li2Y3Sn4 at its relaxed geometry.

```
9
Lattice="5.747 -2.278 0.000 5.747 2.278 0.000 -2.890 0.000 8.333" Properties=species:S:1:pos:R:3 pbc="T T T"
Li 1.086 0.000 3.044
Li 7.519 0.000 5.289
Y -0.476 0.000 5.736
Y 5.747 0.000 0.000
Y 9.081 0.000 2.597
Sn 2.133 0.000 0.612
Sn 3.106 0.000 5.088
Sn 5.499 0.000 3.245
Sn 6.472 0.000 7.722
```

Properties
E ... -4.9856 eV per atom
ΔE_f ... -60 kJ/mol of atoms
V ... 24.2 Å³ per atom
Fermi-level density of states ... 2.90 states/eV/cell

=====

4.
## Li4Y3Sn4 (PBE)

Data for crystalline Li4Y3Sn4 at its relaxed geometry.

```
11
Lattice="-2.294 3.563 7.536 2.294 -3.563 7.536 2.294 3.563 -7.536" Properties=species:S:1:pos:R:3 pbc="T T T"
Li 2.294 -2.211 4.924
Li 0.000 1.352 2.613
Li 2.294 2.211 4.924
Li 0.000 5.773 2.613
Y 2.294 0.000 0.000
Y 0.000 0.000 5.616
Y 0.000 0.000 9.457
Sn 2.294 0.000 3.239
Sn 0.000 2.124 0.000
Sn 0.000 5.001 0.000
Sn 0.000 3.563 4.298
```

Properties
E ... -4.5439 eV per atom
ΔE_f ... -61 kJ/mol of atoms
V ... 22.4 Å³ per atom
Fermi-level density of states ... 2.91 states/eV/cell

=====

Q: The lowest V belongs to which entry?
A: Li4Y3Sn4